1.
RbHg6Pb2, optimized geometry, DFT GGA-PBE; size of the total moment = 0.000 μB/f.u.; offset from the most stable computed form = 14 meV/atom; formation enthalpy at 0 K = -0.043 eV/atom
1.0
3.386 0.000 0.000
0.000 8.169 -4.717
0.000 0.000 9.433
Rb Hg Pb
1 6 2
direct
0.000 0.000 0.000
0.500 0.339 0.339
0.500 0.661 0.661
0.500 0.000 0.661
0.500 0.661 0.000
0.500 0.339 0.000
0.500 0.000 0.339
0.000 0.333 0.667
0.000 0.667 0.333

---

2.
Rb2Hg2Pb, optimized geometry, DFT GGA-PBE; size of the total moment = 0.000 μB/f.u.; offset from the most stable computed form = 4 meV/atom; formation enthalpy at 0 K = -0.215 eV/atom
1.0
-5.309 4.607 -0.442
-0.848 -6.560 -2.077
-1.486 -0.815 9.361
Rb Hg Pb
4 4 2
direct
0.521 0.300 0.150
0.222 0.700 0.350
0.479 0.700 0.850
0.778 0.300 0.650
0.736 0.733 0.504
0.004 0.267 0.996
0.264 0.267 0.496
0.996 0.733 0.004
0.865 0.000 0.250
0.135 0.000 0.750

---

3.
Rb12Hg5Pb3, optimized geometry, DFT GGA-PBE; size of the total moment = 0.814 μB/f.u.; formation enthalpy at 0 K = -0.002 eV/atom
1.0
18.746 0.000 0.000
-6.249 17.674 0.000
-6.249 -8.837 15.306
Pb Hg Rb
12 20 48
direct
0.750 0.375 0.125
0.875 0.750 0.125
0.375 0.750 0.625
0.250 0.125 0.375
0.875 0.125 0.250
0.375 0.625 0.250
0.625 0.375 0.750
0.125 0.875 0.750
0.750 0.875 0.625
0.625 0.250 0.375
0.125 0.250 0.875
0.250 0.625 0.875
0.125 0.375 0.250
0.000 0.500 0.000
0.000 0.000 0.000
0.375 0.250 0.125
0.500 0.000 0.500
0.500 0.500 0.000
0.125 0.750 0.375
0.750 0.125 0.875
0.750 0.625 0.375
0.375 0.125 0.750
0.625 0.875 0.250
0.500 0.500 0.500
0.500 0.000 0.000
0.000 0.000 0.500
0.250 0.375 0.625
0.250 0.875 0.125
0.000 0.500 0.500
0.875 0.250 0.625
0.625 0.750 0.875
0.875 0.625 0.750
0.730 0.137 0.059
0.329 0.559 0.422
0.941 0.363 0.270
0.559 0.230 0.137
0.592 0.730 0.671
0.941 0.578 0.171
0.329 0.770 0.408
0.078 0.908 0.137
0.578 0.941 0.671
0.730 0.592 0.171
0.770 0.441 0.363
0.829 0.922 0.059
0.137 0.730 0.559
0.363 0.422 0.092
0.092 0.922 0.363
0.408 0.137 0.578
0.092 0.171 0.230
0.441 0.671 0.078
0.829 0.908 0.270
0.137 0.408 0.078
0.363 0.941 0.770
0.578 0.637 0.408
0.922 0.829 0.559
0.770 0.329 0.908
0.422 0.363 0.592
0.078 0.171 0.441
0.230 0.671 0.092
0.171 0.092 0.730
0.637 0.059 0.230
0.863 0.592 0.922
0.559 0.329 0.922
0.592 0.863 0.422
0.908 0.829 0.770
0.908 0.078 0.637
0.863 0.270 0.441
0.171 0.078 0.941
0.637 0.578 0.908
0.422 0.059 0.329
0.270 0.408 0.829
0.230 0.559 0.637
0.922 0.092 0.863
0.671 0.230 0.592
0.441 0.770 0.863
0.059 0.422 0.829
0.408 0.270 0.329
0.059 0.637 0.730
0.671 0.441 0.578
0.270 0.863 0.941

---

4.
RbHg2Pb, optimized geometry, DFT GGA-PBE; size of the total moment = 0.000 μB/f.u.; formation enthalpy at 0 K = -0.131 eV/atom
1.0
-0.792 2.023 -4.864
4.591 -5.167 0.020
-5.776 -5.136 -1.195
Rb Hg Pb
2 4 2
direct
0.926 0.851 0.250
0.074 0.149 0.750
0.377 0.754 0.947
0.623 0.246 0.053
0.623 0.246 0.447
0.377 0.754 0.553
0.216 0.432 0.250
0.784 0.568 0.750

---

5.
RbHg2Pb10, optimized geometry, DFT GGA-PBE; size of the total moment = 0.000 μB/f.u.; formation enthalpy at 0 K = -0.030 eV/atom
1.0
6.007 0.000 2.449
3.003 8.394 1.224
0.024 0.000 8.533
Rb Hg Pb
1 2 10
direct
0.000 0.000 0.000
0.000 0.500 0.000
0.500 0.500 0.000
0.356 0.647 0.641
0.644 0.353 0.359
0.003 0.353 0.641
0.997 0.647 0.359
0.000 0.000 0.500
0.500 0.000 0.500
0.274 0.232 0.220
0.726 0.768 0.780
0.506 0.768 0.220
0.494 0.232 0.780

---

6.
Rb3Hg2Pb5, optimized geometry, DFT GGA-PBE; size of the total moment = 0.000 μB/f.u.; formation enthalpy at 0 K = -0.138 eV/atom
1.0
-2.195 5.862 -3.908
-11.574 1.390 -2.291
-2.005 10.262 5.641
Rb Hg Pb
6 4 10
direct
0.250 0.021 0.979
0.750 0.979 0.021
0.330 0.407 0.837
0.670 0.593 0.163
0.830 0.837 0.407
0.170 0.163 0.593
0.251 0.701 0.036
0.749 0.299 0.964
0.751 0.036 0.701
0.249 0.964 0.299
0.250 0.502 0.498
0.750 0.498 0.502
0.385 0.775 0.747
0.115 0.253 0.225
0.615 0.225 0.253
0.885 0.747 0.775
0.205 0.488 0.234
0.795 0.512 0.766
0.705 0.234 0.488
0.295 0.766 0.512

---

7.
Rb2HgPb6, optimized geometry, DFT GGA-PBE; size of the total moment = 0.000 μB/f.u.; formation enthalpy at 0 K = -0.090 eV/atom
1.0
6.825 0.000 0.000
-3.413 6.442 1.609
0.000 0.424 7.877
Rb Hg Pb
2 1 6
direct
0.635 0.270 0.139
0.365 0.730 0.861
0.000 0.000 0.000
0.893 0.295 0.672
0.881 0.763 0.649
0.402 0.295 0.672
0.107 0.705 0.328
0.119 0.237 0.351
0.598 0.705 0.328

---

8.
Rb3Hg2Pb, optimized geometry, DFT GGA-PBE; size of the total moment = 0.000 μB/f.u.; formation enthalpy at 0 K = -0.170 eV/atom
1.0
-6.029 -5.892 2.601
7.741 -5.201 6.159
-0.622 9.038 8.414
Rb Hg Pb
12 8 4
direct
0.259 0.880 0.034
0.241 0.380 0.466
0.741 0.120 0.966
0.759 0.620 0.534
0.497 0.454 0.196
0.003 0.954 0.304
0.503 0.546 0.804
0.997 0.046 0.696
0.997 0.583 0.164
0.503 0.083 0.336
0.003 0.417 0.836
0.497 0.917 0.664
0.623 0.775 0.248
0.877 0.275 0.252
0.377 0.225 0.752
0.123 0.725 0.748
0.187 0.705 0.524
0.313 0.205 0.976
0.813 0.295 0.476
0.687 0.795 0.024
0.365 0.742 0.356
0.135 0.242 0.144
0.635 0.258 0.644
0.865 0.758 0.856

---

9.
RbHg2Pb, optimized geometry, DFT GGA-PBE; size of the total moment = 0.000 μB/f.u.; formation enthalpy at 0 K = -0.138 eV/atom
1.0
-0.184 -2.549 4.610
0.553 -5.240 0.139
6.257 -1.933 2.195
Pb Hg Rb
1 2 1
direct
0.000 0.000 0.000
0.287 0.287 0.138
0.713 0.713 0.862
0.500 0.500 0.500

---

10.
Rb12Hg6Pb, optimized geometry, DFT GGA-PBE; size of the total moment = 0.000 μB/f.u.; formation enthalpy at 0 K = -0.135 eV/atom
1.0
10.334 0.000 -3.654
-5.167 8.950 -3.654
0.000 0.000 10.961
Rb Hg Pb
12 6 1
direct
0.287 0.107 0.820
0.287 0.467 0.180
0.713 0.533 0.820
0.713 0.893 0.180
0.107 0.820 0.287
0.467 0.180 0.287
0.533 0.820 0.713
0.893 0.180 0.713
0.820 0.287 0.107
0.180 0.287 0.467
0.820 0.713 0.533
0.180 0.713 0.893
0.380 0.500 0.880
0.620 0.500 0.120
0.500 0.880 0.380
0.500 0.120 0.620
0.880 0.380 0.500
0.120 0.620 0.500
0.000 0.000 0.000

---

11.
RbHg4Pb12, optimized geometry, DFT GGA-PBE; size of the total moment = 0.000 μB/f.u.; formation enthalpy at 0 K = 0.119 eV/atom
1.0
9.120 0.000 0.000
-3.040 8.598 0.000
-3.040 -4.299 7.447
Rb Hg Pb
1 4 12
direct
0.000 0.000 0.000
0.000 0.500 0.000
0.500 0.000 0.000
0.500 0.500 0.500
0.000 0.000 0.500
0.845 0.354 0.198
0.354 0.509 0.155
0.802 0.155 0.646
0.354 0.198 0.845
0.198 0.845 0.354
0.646 0.491 0.845
0.509 0.155 0.354
0.491 0.845 0.646
0.646 0.802 0.155
0.845 0.646 0.491
0.155 0.354 0.509
0.155 0.646 0.802

---

12.
Rb2Hg3Pb5, optimized geometry, DFT GGA-PBE; size of the total moment = 0.000 μB/f.u.; formation enthalpy at 0 K = -0.114 eV/atom
1.0
7.429 0.000 0.000
3.714 9.826 0.007
3.714 1.523 9.708
Rb Hg Pb
4 6 10
direct
0.123 0.634 0.119
0.623 0.119 0.634
0.877 0.366 0.881
0.377 0.881 0.366
0.381 0.478 0.760
0.881 0.760 0.478
0.619 0.522 0.240
0.119 0.240 0.522
0.250 0.000 0.000
0.750 0.000 0.000
0.374 0.252 0.999
0.874 0.999 0.252
0.626 0.748 0.001
0.126 0.001 0.748
0.510 0.740 0.740
0.490 0.260 0.260
0.750 0.500 0.500
0.250 0.500 0.500
0.990 0.260 0.260
0.010 0.740 0.740